VASP calculation (GGA+U) on crystalline Na2VGaO4 at its relaxed geometry.

abc: 5.1734 5.1734 5.1734
angles: 101.01 113.86 113.86
Closest atoms and distances in Å follow each position.
Fractional coordinates of all 8 atoms:
1 O 0.3691 0.8875 0.8258  1 Ga 1.87, 1 V 1.90
2 O 0.6309 0.4567 0.5184  1 Ga 1.87, 1 V 1.90
3 V 0.5000 0.2500 0.7500  4 O 1.90
4 Na 0.0000 0.0000 0.0000  8 O 2.62-2.77
5 Ga 0.0000 0.5000 0.5000  4 O 1.87
6 O 0.0618 0.1742 0.5433  1 Ga 1.87, 1 V 1.90
7 O 0.9382 0.4816 0.1125  1 Ga 1.87, 1 V 1.90
8 Na 0.5000 0.7500 0.2500  4 O 2.36

Calculated values
Total DFT energy (no corrections) = -46.37 eV/cell